Entry 1:
HgSF3 after structural relaxation. Source: Alexandria via LeMat-Bulk, functional GGA-PBE.

**DOS(E_F)**: 0.59 states/eV per atom
**Calculated volume**: 79 Å³/cell
**Space-group type**: Pm-3m
**Energy above the most stable polymorph in this dataset**: 0 meV per atom

abc: 4.2828 4.2828 4.2828
angles: 90.00 90.00 90.00
Element x y z (fractional)
Hg 0.0000 0.0000 0.0000
S 0.5000 0.5000 0.5000
F 0.0000 0.5000 0.5000
F 0.5000 0.0000 0.5000
F 0.5000 0.5000 0.0000

---

Entry 2:
HgSF4 after structural relaxation. Source: Alexandria via LeMat-Bulk, functional GGA-PBE.

**DOS(E_F)**: 0.00 states/eV per atom
**Calculated volume**: 261 Å³/cell
**Space-group type**: P2_1/m
**E_tot**: -3.327 eV per atom

abc: 6.1731 6.4401 7.0776
angles: 90.00 112.02 90.00
Element x y z (fractional)
Hg 0.0672 0.2500 0.1132
Hg 0.9328 0.7500 0.8868
S 0.3481 0.2500 0.6194
S 0.6519 0.7500 0.3806
F 0.0926 0.2500 0.6222
F 0.3433 0.5134 0.6307
F 0.3433 0.9866 0.6307
F 0.4941 0.2500 0.8595
F 0.5059 0.7500 0.1405
F 0.6567 0.0134 0.3693
F 0.6567 0.4866 0.3693
F 0.9074 0.7500 0.3778

---

Entry 3:
Hg3SbS2F6 after structural relaxation. Source: Alexandria via LeMat-Bulk, functional GGA-PBE.

**DOS(E_F)**: 0.37 states/eV per atom
**Calculated volume**: 270 Å³/cell
**Space-group type**: C2/m
**E_tot**: -3.475 eV per atom

abc: 8.3373 8.3373 5.1417
angles: 105.82 105.82 52.36
Element x y z (fractional)
Hg 0.0000 0.0000 0.0000
Hg 0.0000 0.5000 0.5000
Hg 0.5000 0.0000 0.5000
Sb 0.5000 0.5000 0.5000
S 0.1850 0.1850 0.1998
S 0.8150 0.8150 0.8002
F 0.2363 0.6113 0.2768
F 0.3887 0.7637 0.7232
F 0.4163 0.4163 0.7217
F 0.5837 0.5837 0.2783
F 0.6113 0.2363 0.2768
F 0.7637 0.3887 0.7232

---

Entry 4:
ScHg2SF after structural relaxation. Source: Alexandria via LeMat-Bulk, functional GGA-PBE.

**DOS(E_F)**: 0.66 states/eV per atom
**Calculated volume**: 130 Å³/cell
**Space-group type**: P4/mmm
**E_tot**: -3.283 eV per atom

abc: 5.7143 5.7143 3.9671
angles: 90.00 90.00 90.00
Element x y z (fractional)
Sc 0.0000 0.0000 0.0000
Hg 0.0000 0.5000 0.0000
Hg 0.5000 0.0000 0.0000
S 0.5000 0.5000 0.5000
F 0.0000 0.0000 0.5000